[1]
Cs2Ce2MgSe6 after structural relaxation. Source: Alexandria via LeMat-Bulk, functional PBE-GGA.

Cell lengths 7.263, 7.263, 8.867 Å; angles 97.77, 97.77, 119.96 degrees
Element x y z (fractional)
Cs 0.166 0.834 0.000
Cs 0.834 0.166 0.000
Ce 0.334 0.666 0.500
Ce 0.666 0.334 0.500
Mg 0.000 0.000 0.500
Se 0.059 0.391 0.679
Se 0.268 0.268 0.323
Se 0.391 0.059 0.679
Se 0.609 0.941 0.321
Se 0.732 0.732 0.677
Se 0.941 0.609 0.321

Its electronic total energy is -52.439 eV/cell. The formation energy (no corrections) comes out at -1.49 eV per atom. Its size of the total moment is 0.0 μB per cell. The symmetry is C2/m (12).

=====

[2]
Na2TiZn after structural relaxation. Source: Alexandria via LeMat-Bulk, functional PBE-GGA.

Cell lengths 6.609, 6.609, 6.609 Å; angles 100.49, 100.49, 129.48 degrees
Element x y z (fractional)
Na 0.090 0.625 0.965
Na 0.375 0.340 0.465
Na 0.660 0.125 0.035
Na 0.875 0.910 0.535
Ti 0.250 0.750 0.500
Ti 0.500 0.500 0.000
Zn 0.000 0.000 0.000
Zn 0.750 0.250 0.500

Its energy relative to the elements is 67 kJ per mole of atoms. Its electronic total energy is -18.083 eV/cell. The calculation puts the density of states at the Fermi level at 8.52 states/eV per cell. Its size of the total moment is 5.2 μB per cell. The symmetry is I-42d (122).

=====

[3]
Y2Ho3Pu after structural relaxation. Source: Alexandria via LeMat-Bulk, functional PBE-GGA.

Cell lengths 8.830, 8.830, 8.830 Å; angles 99.31, 94.97, 138.73 degrees
Element x y z (fractional)
Y 0.105 0.247 0.351
Y 0.395 0.747 0.142
Y 0.605 0.253 0.858
Y 0.895 0.753 0.649
Ho 0.016 0.750 0.266
Ho 0.250 0.250 0.000
Ho 0.484 0.750 0.734
Ho 0.516 0.250 0.266
Ho 0.750 0.750 0.000
Ho 0.984 0.250 0.734
Pu 0.000 0.500 0.500
Pu 0.500 0.000 0.500

Its energy relative to the elements is 57 kJ per mole of atoms. Its electronic total energy is -74.896 eV/cell. The calculation puts the density of states at the Fermi level at 24.15 states/eV per cell. Its size of the total moment is 11.9 μB per cell. The symmetry is Ibam (72).

=====

[4]
CaSc2CdAu4 after structural relaxation. Source: Alexandria via LeMat-Bulk, functional PBE-GGA.

Cell lengths 8.482, 8.482, 8.482 Å; angles 33.23, 33.23, 33.23 degrees
Element x y z (fractional)
Ca 0.000 0.000 0.000
Sc 0.245 0.245 0.245
Sc 0.755 0.755 0.755
Cd 0.500 0.500 0.500
Au 0.124 0.124 0.124
Au 0.376 0.376 0.376
Au 0.624 0.624 0.624
Au 0.876 0.876 0.876

Its energy relative to the elements is -64 kJ per mole of atoms. Its electronic total energy is -33.964 eV/cell. The calculation puts the density of states at the Fermi level at 3.71 states/eV per cell. Its size of the total moment is 0.0 μB per cell. The symmetry is R-3m (166).

=====

[5]
SrAl2Te after structural relaxation. Source: Alexandria via LeMat-Bulk, functional PBE-GGA.

Cell lengths 5.355, 5.355, 5.355 Å; angles 60.00, 60.00, 60.00 degrees
Element x y z (fractional)
Sr 0.000 0.000 0.000
Al 0.500 0.500 0.500
Al 0.750 0.750 0.750
Te 0.250 0.250 0.250

Its electronic total energy is -12.729 eV/cell. The formation energy (no corrections) comes out at -0.10 eV per atom. The calculation puts the density of states at the Fermi level at 2.25 states/eV per cell. Its size of the total moment is 0.0 μB per cell. The symmetry is F-43m (216).

=====

[6]
IrBr3Cl after structural relaxation. Source: Alexandria via LeMat-Bulk, functional PBE-GGA.

Cell lengths 5.052, 5.052, 5.052 Å; angles 90.00, 90.00, 90.00 degrees
Element x y z (fractional)
Ir 0.000 0.000 0.000
Br 0.000 0.000 0.500
Br 0.000 0.500 0.000
Br 0.500 0.000 0.000
Cl 0.500 0.500 0.500

Its electronic total energy is -13.928 eV/cell. The formation energy (no corrections) comes out at 0.36 eV per atom. The calculation puts the density of states at the Fermi level at 9.07 states/eV per cell. Its size of the total moment is 0.0 μB per cell. The symmetry is Pm-3m (221). For the distance to the lowest polymorph of the same formula, the calculation gives 2.91 eV per formula unit.